1.
Density functional theory data (PBE) for crystalline DySnAuSeS2 at its relaxed geometry.

Unit cell a=4.126 b=14.367 c=10.486 alpha=90.00 beta=90.00 gamma=90.00
Space group Cmcm (No. 63)
One atom of each set of equivalent atoms:
Dy 0.000 0.000 0.000
Sn 0.000 0.296 0.250
Au 0.000 0.358 0.750
Se 0.000 0.071 0.750
S 0.000 0.372 0.526

Uncorrected energy: -29.4 eV/f.u.
Spin magnetization: 0.0011 μB per atom

***

2.
Density functional theory data (PBE) for crystalline GdNi12B6 at its relaxed geometry.

Unit cell a=9.569 b=7.375 c=11.004 alpha=90.00 beta=90.00 gamma=90.00
Space group Cmc2_1 (No. 36)
One atom of each set of equivalent atoms:
Gd 0.000 0.166 0.000
Ni 0.000 0.219 0.397
Ni 0.000 0.434 0.577
Ni 0.131 0.326 0.762
Ni 0.131 0.343 0.221
Ni 0.132 0.014 0.241
Ni 0.183 0.187 0.559
Ni 0.194 0.465 0.429
B 0.000 0.164 0.658
B 0.000 0.488 0.342
B 0.206 0.195 0.374
B 0.215 0.459 0.612

Spin magnetization: 0.0004 μB per atom
E above lowest polymorph: 0.00 eV/f.u.

***

3.
Density functional theory data (PBE) for crystalline GdLu at its relaxed geometry.

Unit cell a=5.6493 b=5.6493 c=6.2076 alpha=90.00 beta=90.00 gamma=120.00
Space group P6_3/mmc (No. 194)
One atom of each set of equivalent atoms:
Gd 0.3333 0.6667 0.2500
Lu 0.3333 0.6667 0.7500

Formation energy from the elements: 1263 meV per atom
Spin magnetization: 0.0083 μB per atom
E above lowest polymorph: 2.44 eV/f.u.

***

What did the second record say?
Density functional theory data (PBE) for crystalline GdNi12B6 at its relaxed geometry.

Unit cell a=9.569 b=7.375 c=11.004 alpha=90.00 beta=90.00 gamma=90.00
Space group Cmc2_1 (No. 36)
One atom of each set of equivalent atoms:
Gd 0.000 0.166 0.000
Ni 0.000 0.219 0.397
Ni 0.000 0.434 0.577
Ni 0.131 0.326 0.762
Ni 0.131 0.343 0.221
Ni 0.132 0.014 0.241
Ni 0.183 0.187 0.559
Ni 0.194 0.465 0.429
B 0.000 0.164 0.658
B 0.000 0.488 0.342
B 0.206 0.195 0.374
B 0.215 0.459 0.612

Spin magnetization: 0.0004 μB per atom
E above lowest polymorph: 0.00 eV/f.u.

***

Repeat the third record exactly.
Density functional theory data (PBE) for crystalline GdLu at its relaxed geometry.

Unit cell a=5.6493 b=5.6493 c=6.2076 alpha=90.00 beta=90.00 gamma=120.00
Space group P6_3/mmc (No. 194)
One atom of each set of equivalent atoms:
Gd 0.3333 0.6667 0.2500
Lu 0.3333 0.6667 0.7500

Formation energy from the elements: 1263 meV per atom
Spin magnetization: 0.0083 μB per atom
E above lowest polymorph: 2.44 eV/f.u.

***

> Which of these has the highest spin magnetization?

GdLu